Computed, not measured: crystalline TbHoTmAl at its relaxed geometry at the PBE level of DFT.

a = 5.317 Å, b = 5.317 Å, c = 5.317 Å
α = 60.00°, β = 60.00°, γ = 60.00°
Sites, in units of the cell vectors:
1 Tb 0.000 0.000 0.000
2 Ho 0.500 0.500 0.500
3 Tm 0.750 0.750 0.750
4 Al 0.250 0.250 0.250

Properties
Total moment: 0.0 μB per cell
Energy above the most stable polymorph in this dataset: 0.1226 eV per atom
Uncorrected energy: -4.424 eV/atom
Energy relative to the elements: -0.07 eV per atom